CaMn3Zn | PBE | optimized geometry

total DFT energy (no corrections)	-5.460	eV/atom
ρ	4.1	g/cm³
energy above the most stable polymorph in this dataset	0.000	eV per atom
formation energy from the elements	0.697	eV per atom
total moment	11.4	μB per formula unit

Unit cell a=4.7754 b=4.7754 c=4.7754 alpha=90.00 beta=90.00 gamma=90.00
Site moments in Bohr magnetons follow the coordinates.
Fractional positions:
Zn  0.0000  0.0000  0.0000  -0.07
Mn  0.0000  0.5000  0.0000  3.81
Mn  0.0000  0.0000  0.5000  3.94
Mn  0.5000  0.0000  0.0000  3.55
Ca  0.5000  0.5000  0.5000  -0.07